No. 1
A relaxed structure of CdInTe. Source: Alexandria, functional GGA-PBE.

Cell lengths 4.1965, 6.6173, 6.8763 Å; angles 99.57, 107.74, 91.97 degrees
Fractional coordinates of all 6 atoms:
Cd1 0.0105 0.2366 0.4956
Cd2 0.9895 0.7634 0.5044
In1 0.3259 0.8000 0.1738
In2 0.6741 0.2000 0.8262
Te1 0.3523 0.2872 0.1783
Te2 0.6477 0.7128 0.8217

Calculated values
Calculated volume = 29.766 Å³/atom



No. 2
A relaxed structure of CdIn2Te2. Source: Alexandria, functional GGA-PBE.

Cell lengths 6.1608, 6.1608, 6.1608 Å; angles 122.97, 122.97, 84.94 degrees
Fractional coordinates of all 5 atoms:
Cd1 0.0000 0.0000 0.0000
In1 0.3412 0.3412 0.0000
In2 0.6588 0.6588 0.0000
Te1 0.2500 0.7500 0.5000
Te2 0.7500 0.2500 0.5000

Calculated values
Calculated volume = 31.454 Å³/atom



No. 3
A relaxed structure of Cd3InTe4. Source: Alexandria, functional GGA-PBE.

Cell lengths 8.2200, 8.2200, 8.2200 Å; angles 131.63, 131.63, 70.81 degrees
Fractional coordinates of all 8 atoms:
Cd1 0.0000 0.0000 0.0000
Cd2 0.2500 0.7500 0.5000
Cd3 0.7500 0.2500 0.5000
In1 0.5000 0.5000 0.0000
Te1 0.1141 0.1141 0.4843
Te2 0.3702 0.8859 0.0000
Te3 0.6298 0.6298 0.5157
Te4 0.8859 0.3702 0.0000

Calculated values
Calculated volume = 37.990 Å³/atom



no.,uncorrected formation energy (meV/atom)
1,-156
2,-95
3,-359